# Zn4Ag

Crystalline Zn4Ag at its relaxed geometry (PBE, the Alexandria database).

abc: 2.8715 2.8715 33.0693
angles: 90.00 90.00 120.00
Closest atoms and distances in Å follow each position.
Space group R-3m (No. 166, hexagonal axes)
Inequivalent atoms, fractional coordinates:
Zn1 0.0000 0.0000 0.0983 [6 per cell]  9 Zn 2.71-2.87, 3 Ag 2.80
Zn2 0.0000 0.0000 0.3000 [6 per cell]  12 Zn 2.71-2.87
Ag1 0.0000 0.0000 0.5000 [3 per cell]  6 Zn 2.80, 6 Ag 2.87

Results
- Formation enthalpy at 0 K: 0.02 eV per atom
- Excess energy over the best structure of this formula in the dataset: 0.022 eV/atom
- Calculated volume: 15.743 Å³ per atom

---

# ZnAg

Crystalline ZnAg at its relaxed geometry (PBE, the Alexandria database).

abc: 8.1222 8.1222 8.1222
angles: 90.00 90.00 90.00
Closest atoms and distances in Å follow each position.
Space group I-43m (No. 217)
Inequivalent atoms, fractional coordinates:
Zn1 0.1966 0.1966 0.1966 [8 per cell]  4 Ag 2.51-2.74
Ag1 0.1247 0.1247 0.8753 [8 per cell]  4 Zn 2.51-2.74

Results
- Formation enthalpy at 0 K: 0.46 eV per atom
- Calculated volume: 33.489 Å³ per atom

---

Across the entries above, DFT total energy takes the values -1.567 -1.602 eV per atom, respectively.